# 1
Compound: CaPr6Y2Tm
Source: the Alexandria database
Functional: PBE
Structure: relaxed

Structure (POSCAR):
```
CaPr6Y2Tm
1.0
-6.312 -4.119 6.381
5.301 -7.373 -0.522
2.427 6.664 5.695
Ca Pr Y Tm
2 12 4 2
Direct
0.250 0.403 0.597
0.750 0.597 0.403
0.055 0.113 0.767
0.445 0.233 0.887
0.945 0.887 0.233
0.555 0.767 0.113
0.321 0.975 0.432
0.179 0.568 0.025
0.679 0.025 0.568
0.821 0.432 0.975
0.122 0.711 0.494
0.378 0.506 0.289
0.878 0.289 0.506
0.622 0.494 0.711
0.455 0.801 0.707
0.045 0.293 0.199
0.545 0.199 0.293
0.955 0.707 0.801
0.250 0.970 0.030
0.750 0.030 0.970
```

Calculated values
space-group type	C2/c, No. 15
DOS at the Fermi energy	31.311	states/eV/cell
energy of formation from the pure elements	3.0	kcal/mol of atoms

=====

# 2
Compound: PmPr3Tm2S6
Source: the Alexandria database
Functional: PBE
Structure: relaxed

Structure (POSCAR):
```
PmPr3Tm2S6
1.0
6.889 -0.008 -0.002
-3.450 5.963 -0.002
-1.149 -1.989 6.654
Pm Pr Tm S
1 3 2 6
Direct
0.000 0.000 0.000
0.162 0.838 0.500
0.838 0.162 0.500
0.500 0.500 0.500
0.334 0.666 0.000
0.666 0.334 0.000
0.923 0.578 0.768
0.731 0.731 0.228
0.077 0.422 0.232
0.578 0.923 0.768
0.269 0.269 0.772
0.422 0.077 0.232
```

Calculated values
space-group type	C2/m, No. 12
ΔE_f (raw)	-2001	meV/atom
DOS at the Fermi energy	4.900	states/eV/cell